[1]
! PBE La4HgPb2, optimized geometry; values from VASP
&SYSTEM
  ibrav = 0, nat = 7, ntyp = 3
/
ATOMIC_SPECIES
La 138.91 La.upf
Pb 207.20 Pb.upf
Hg 200.59 Hg.upf
ATOMIC_POSITIONS crystal
La 0.8159 0.8159 0.3681
La 0.5000 0.0000 0.0000
La 0.0000 0.5000 0.0000
La 0.1841 0.1841 0.6319
Pb 0.3713 0.3713 0.2575
Pb 0.6287 0.6287 0.7425
Hg 0.0000 0.0000 0.0000
CELL_PARAMETERS angstrom
-3.9442 -0.5912 -4.0559
-3.9796 -0.7952 3.9859
-5.4528 7.8171 0.1742
! Calculated density   7.0 g/cm³
! Total moment   0.0 μB per formula unit
! Crystal system   tetragonal
! Formation energy from the elements   -0.15 eV/atom

[2]
! PBE SrAg2Cl, optimized geometry; values from VASP
&SYSTEM
  ibrav = 0, nat = 8, ntyp = 3
/
ATOMIC_SPECIES
Cl 35.45 Cl.upf
Ag 107.87 Ag.upf
Sr 87.62 Sr.upf
ATOMIC_POSITIONS crystal
Cl 0.2500 0.7500 0.5000
Cl 0.5000 0.5000 0.0000
Ag 0.6037 0.1250 0.2500
Ag 0.8750 0.8537 0.7500
Ag 0.3750 0.3963 0.7500
Ag 0.1463 0.6250 0.2500
Sr 0.7500 0.2500 0.5000
Sr 0.0000 0.0000 0.0000
CELL_PARAMETERS angstrom
9.1082 0.0000 0.0000
0.0000 9.1082 0.0000
4.5541 4.5541 2.7718
! Calculated density   4.9 g/cm³
! Calculated total energy   -2.88 eV/atom
! Total moment   0.0 μB per formula unit
! Crystal system   tetragonal

[3]
! PBE CsPdF2, optimized geometry; values from VASP
&SYSTEM
  ibrav = 0, nat = 4, ntyp = 3
/
ATOMIC_SPECIES
F 19.00 F.upf
Cs 132.91 Cs.upf
Pd 106.42 Pd.upf
ATOMIC_POSITIONS crystal
F 0.0895 0.0895 0.0895
F 0.9105 0.9105 0.9105
Cs 0.5000 0.5000 0.5000
Pd 0.0000 0.0000 0.0000
CELL_PARAMETERS angstrom
-5.6198 5.2448 1.5764
-6.2784 2.1841 4.1696
-3.4412 4.9753 4.9980
! Calculated density   4.3 g/cm³
! Calculated total energy   -3.96 eV/atom
! Total moment   0.0 μB per formula unit
! Crystal system   trigonal

[4]
! PBE La2Th3Se6, optimized geometry; values from VASP
&SYSTEM
  ibrav = 0, nat = 11, ntyp = 3
/
ATOMIC_SPECIES
Th 232.04 Th.upf
Se 78.96 Se.upf
La 138.91 La.upf
ATOMIC_POSITIONS crystal
Th 0.6655 0.6689 0.0000
Th 0.0000 0.0000 0.0000
Th 0.3345 0.3311 0.0000
Se 0.7403 0.0000 0.7475
Se 0.4169 0.6754 0.7504
Se 0.2597 0.0000 0.2525
Se 0.9078 0.6754 0.2496
Se 0.0922 0.3246 0.7504
Se 0.5831 0.3246 0.2496
La 0.1660 0.6680 0.5000
La 0.8340 0.3320 0.5000
CELL_PARAMETERS angstrom
6.9332 0.0000 2.0788
3.4666 6.3051 1.0394
0.3215 0.0000 7.4135
! Calculated density   7.5 g/cm³
! Calculated total energy   -6.59 eV/atom
! Total moment   0.0 μB per formula unit
! Crystal system   monoclinic

[5]
! PBE MnCr2Ir, optimized geometry; values from VASP
&SYSTEM
  ibrav = 0, nat = 4, ntyp = 3
/
ATOMIC_SPECIES
Cr 52.00 Cr.upf
Mn 54.94 Mn.upf
Ir 192.22 Ir.upf
ATOMIC_POSITIONS crystal
Cr 0.0000 0.0740 0.0042
Cr 0.5000 0.1738 0.2353
Mn 0.5000 0.8060 0.7614
Ir 0.0000 0.4463 0.4991
CELL_PARAMETERS angstrom
-2.0069 0.5632 3.2645
-1.9480 -1.4249 -0.9517
0.8469 -4.9450 1.3738
! Calculated density   11.7 g/cm³
! Total moment   1.3 μB per formula unit
! Crystal system   monoclinic
! Formation energy from the elements   0.04 eV/atom

[6]
! PBE K3LiHf3Se8, optimized geometry; values from VASP
&SYSTEM
  ibrav = 0, nat = 15, ntyp = 4
/
ATOMIC_SPECIES
K 39.10 K.upf
Hf 178.49 Hf.upf
Se 78.96 Se.upf
Li 6.94 Li.upf
ATOMIC_POSITIONS crystal
K 0.0000 0.0000 0.0000
K 0.0000 0.5000 0.0000
K 0.5000 0.5000 0.0000
Hf 0.0000 0.5000 0.5000
Hf 0.5000 0.0000 0.5000
Hf 0.5000 0.5000 0.5000
Se 0.2371 0.4742 0.6913
Se 0.2829 0.0458 0.3087
Se 0.7171 0.9542 0.6913
Se 0.7629 0.0458 0.3087
Se 0.7629 0.5258 0.3087
Se 0.7332 0.4664 0.6996
Se 0.2371 0.9542 0.6913
Se 0.2668 0.5336 0.3004
Li 0.0000 0.0000 0.5000
CELL_PARAMETERS angstrom
7.8536 0.0009 0.0001
-3.9261 6.8013 -0.0263
-0.0004 -4.5050 7.7598
! Calculated density   5.2 g/cm³
! Calculated total energy   -5.51 eV/atom
! Total moment   0.0 μB per formula unit
! Crystal system   trigonal

[7]
! PBE NiIrRh, optimized geometry; values from VASP
&SYSTEM
  ibrav = 0, nat = 3, ntyp = 3
/
ATOMIC_SPECIES
Rh 102.91 Rh.upf
Ir 192.22 Ir.upf
Ni 58.69 Ni.upf
ATOMIC_POSITIONS crystal
Rh 0.6695 0.6695 0.0000
Ir 0.9953 0.9953 0.0000
Ni 0.3352 0.3352 0.0000
CELL_PARAMETERS angstrom
5.7930 0.0014 0.0000
4.5321 3.6082 0.0000
-5.1626 -1.8048 1.9104
! Calculated density   14.7 g/cm³
! Total moment   0.0 μB per formula unit
! Crystal system   tetragonal
! Formation energy from the elements   0.03 eV/atom

[8]
! PBE Tb4HoHg5, optimized geometry; values from VASP
&SYSTEM
  ibrav = 0, nat = 10, ntyp = 3
/
ATOMIC_SPECIES
Hg 200.59 Hg.upf
Ho 164.93 Ho.upf
Tb 158.93 Tb.upf
ATOMIC_POSITIONS crystal
Hg 0.5000 0.5000 0.5000
Hg 0.5000 0.5000 0.2995
Hg 0.5000 0.5000 0.9020
Hg 0.5000 0.5000 0.0980
Hg 0.5000 0.5000 0.7005
Ho 0.0000 0.0000 0.0000
Tb 0.0000 0.0000 0.1991
Tb 0.0000 0.0000 0.6003
Tb 0.0000 0.0000 0.3997
Tb 0.0000 0.0000 0.8009
CELL_PARAMETERS angstrom
-0.3794 3.6719 -0.5178
-3.2077 -0.0638 1.8978
9.3352 3.2050 15.8864
! Calculated density   11.5 g/cm³
! Total moment   0.5 μB per formula unit
! Crystal system   tetragonal
! Formation energy from the elements   -0.48 eV/atom

[9]
! PBE ZnCd12Ag7, optimized geometry; values from VASP
&SYSTEM
  ibrav = 0, nat = 20, ntyp = 3
/
ATOMIC_SPECIES
Cd 112.41 Cd.upf
Zn 65.41 Zn.upf
Ag 107.87 Ag.upf
ATOMIC_POSITIONS crystal
Cd 0.7872 0.4409 0.6427
Cd 0.2128 0.5591 0.3573
Cd 0.3454 0.2897 0.5196
Cd 0.3463 0.9164 0.4409
Cd 0.4299 0.6427 0.9164
Cd 0.6546 0.7103 0.4804
Cd 0.6537 0.0836 0.5591
Cd 0.9443 0.8093 0.7103
Cd 0.0557 0.1907 0.2897
Cd 0.1350 0.4804 0.8093
Cd 0.8650 0.5196 0.1907
Cd 0.5701 0.3573 0.0836
Zn 0.0000 0.0000 0.0000
Ag 0.7574 0.1201 0.1530
Ag 0.0896 0.8470 0.2730
Ag 0.2426 0.8799 0.8470
Ag 0.9104 0.1530 0.7270
Ag 0.6373 0.7270 0.1201
Ag 0.5000 0.0000 0.0000
Ag 0.3627 0.2730 0.8799
CELL_PARAMETERS angstrom
-3.8157 7.8843 2.3424
-5.0737 -6.0221 0.3066
-2.8665 -0.0923 7.3401
! Calculated density   8.7 g/cm³
! Total moment   0.0 μB per formula unit
! Crystal system   trigonal
! Formation energy from the elements   -0.01 eV/atom

[10]
! PBE CeNi2Ge, optimized geometry; values from VASP
&SYSTEM
  ibrav = 0, nat = 16, ntyp = 3
/
ATOMIC_SPECIES
Ni 58.69 Ni.upf
Ge 72.64 Ge.upf
Ce 140.12 Ce.upf
ATOMIC_POSITIONS crystal
Ni 0.0975 0.5529 0.8267
Ni 0.9025 0.0529 0.1733
Ni 0.5975 0.4471 0.6733
Ni 0.9025 0.4471 0.1733
Ni 0.4025 0.5529 0.3267
Ni 0.5975 0.0529 0.6733
Ni 0.0975 0.9471 0.8267
Ni 0.4025 0.9471 0.3267
Ge 0.1675 0.7500 0.1143
Ge 0.6675 0.2500 0.3857
Ge 0.3325 0.7500 0.6143
Ge 0.8325 0.2500 0.8857
Ce 0.1679 0.2500 0.5556
Ce 0.8321 0.7500 0.4444
Ce 0.6679 0.7500 0.9444
Ce 0.3321 0.2500 0.0556
CELL_PARAMETERS angstrom
-3.3849 2.6365 3.4207
-3.1929 -5.3592 0.9712
4.6069 -1.6834 5.8563
! Calculated density   8.3 g/cm³
! Total moment   0.1 μB per formula unit
! Crystal system   orthorhombic
! Formation energy from the elements   -0.57 eV/atom

[11]
! PBE PmPuGePt, optimized geometry; values from VASP
&SYSTEM
  ibrav = 0, nat = 4, ntyp = 4
/
ATOMIC_SPECIES
Pu 244.00 Pu.upf
Pt 195.08 Pt.upf
Ge 72.64 Ge.upf
Pm 145.00 Pm.upf
ATOMIC_POSITIONS crystal
Pu 0.5000 0.5000 0.5000
Pt 0.2500 0.2500 0.2500
Ge 0.7500 0.7500 0.7500
Pm 0.0000 0.0000 0.0000
CELL_PARAMETERS angstrom
5.0891 0.0000 0.0000
2.5446 4.4073 0.0000
2.5446 1.4691 4.1553
! Calculated density   11.7 g/cm³
! Total moment   5.2 μB per formula unit
! Crystal system   cubic
! Formation energy from the elements   -0.65 eV/atom

[12]
! PBE MnAgSe2, optimized geometry; values from VASP
&SYSTEM
  ibrav = 0, nat = 4, ntyp = 3
/
ATOMIC_SPECIES
Ag 107.87 Ag.upf
Se 78.96 Se.upf
Mn 54.94 Mn.upf
ATOMIC_POSITIONS crystal
Ag 0.0000 0.0000 0.0000
Se 0.2807 0.2393 0.7607
Se 0.7193 0.7607 0.2393
Mn 0.5000 0.5000 0.5000
CELL_PARAMETERS angstrom
6.8761 0.0000 1.0391
1.4664 1.8815 -2.9129
-1.4664 1.8815 2.9129
! Calculated density   6.6 g/cm³
! Calculated total energy   -5.02 eV/atom
! Total moment   4.0 μB per formula unit
! Crystal system   monoclinic

[13]
! PBE Hf2VCd, optimized geometry; values from VASP
&SYSTEM
  ibrav = 0, nat = 8, ntyp = 3
/
ATOMIC_SPECIES
Cd 112.41 Cd.upf
Hf 178.49 Hf.upf
V 50.94 V.upf
ATOMIC_POSITIONS crystal
Cd 0.7500 0.2500 0.5000
Cd 0.0000 0.0000 0.0000
Hf 0.3750 0.3828 0.7500
Hf 0.8750 0.8672 0.7500
Hf 0.1328 0.6250 0.2500
Hf 0.6172 0.1250 0.2500
V 0.2500 0.7500 0.5000
V 0.5000 0.5000 0.0000
CELL_PARAMETERS angstrom
-2.7055 0.6117 -3.0197
-1.0185 -3.9703 0.1084
-9.0462 0.3505 5.3921
! Calculated density   10.1 g/cm³
! Total moment   1.3 μB per formula unit
! Crystal system   tetragonal
! Formation energy from the elements   0.71 eV/atom

[14]
! PBE BaAc2Tl2Pd7, optimized geometry; values from VASP
&SYSTEM
  ibrav = 0, nat = 12, ntyp = 4
/
ATOMIC_SPECIES
Pd 106.42 Pd.upf
Ac 227.00 Ac.upf
Tl 204.38 Tl.upf
Ba 137.33 Ba.upf
ATOMIC_POSITIONS crystal
Pd 0.4522 0.8572 0.1577
Pd 0.5478 0.1428 0.8423
Pd 0.1428 0.5478 0.8423
Pd 0.6298 0.6298 0.5621
Pd 0.3702 0.3702 0.4379
Pd 0.8572 0.4522 0.1577
Pd 0.5000 0.5000 0.0000
Ac 0.8332 0.8332 0.3418
Ac 0.1668 0.1668 0.6582
Tl 0.3268 0.3268 0.2370
Tl 0.6732 0.6732 0.7630
Ba 0.0000 0.0000 0.0000
CELL_PARAMETERS angstrom
4.8991 0.0678 -0.1501
0.0738 4.8991 -0.1501
2.0231 2.0207 12.6664
! Calculated density   9.4 g/cm³
! Total moment   0.0 μB per formula unit
! Crystal system   monoclinic
! Formation energy from the elements   -0.38 eV/atom

[15]
! PBE Dy4Bi3O, optimized geometry; values from VASP
&SYSTEM
  ibrav = 0, nat = 16, ntyp = 3
/
ATOMIC_SPECIES
Dy 162.50 Dy.upf
Bi 208.98 Bi.upf
O 16.00 O.upf
ATOMIC_POSITIONS crystal
Dy 0.5577 0.7631 0.7475
Dy 0.1662 0.7478 0.5000
Dy 0.6662 0.2522 0.0000
Dy 0.5630 0.1465 0.5000
Dy 0.0577 0.2369 0.7525
Dy 0.0630 0.8535 0.0000
Dy 0.5577 0.7631 0.2525
Dy 0.0577 0.2369 0.2475
Bi 0.5635 0.7533 0.0000
Bi 0.0572 0.7372 0.2495
Bi 0.0635 0.2467 0.5000
Bi 0.5572 0.2628 0.2505
Bi 0.5572 0.2628 0.7495
Bi 0.0572 0.7372 0.7505
O 0.4928 0.8198 0.5000
O 0.9928 0.1802 0.0000
CELL_PARAMETERS angstrom
-3.8119 -4.9540 0.6379
4.8028 -3.4144 2.1841
-2.6651 3.5125 11.3518
! Calculated density   8.9 g/cm³
! Calculated total energy   -5.58 eV/atom
! Total moment   0.0 μB per formula unit
! Crystal system   orthorhombic

[16]
! PBE SrTcAu, optimized geometry; values from VASP
&SYSTEM
  ibrav = 0, nat = 3, ntyp = 3
/
ATOMIC_SPECIES
Sr 87.62 Sr.upf
Tc 98.00 Tc.upf
Au 196.97 Au.upf
ATOMIC_POSITIONS crystal
Sr 0.3343 0.3343 0.0000
Tc 0.6261 0.6261 0.0000
Au 0.0396 0.0396 0.0000
CELL_PARAMETERS angstrom
-1.4237 5.5045 2.2846
-5.3669 2.9194 0.4685
3.0289 -5.2504 0.8971
! Calculated density   8.9 g/cm³
! Total moment   1.5 μB per formula unit
! Crystal system   tetragonal
! Formation energy from the elements   0.45 eV/atom

[17]
! PBE Pm2Hg3Rh2, optimized geometry; values from VASP
&SYSTEM
  ibrav = 0, nat = 7, ntyp = 3
/
ATOMIC_SPECIES
Pm 145.00 Pm.upf
Hg 200.59 Hg.upf
Rh 102.91 Rh.upf
ATOMIC_POSITIONS crystal
Pm 0.6222 0.2444 0.3555
Pm 0.3778 0.7556 0.6445
Hg 0.6984 0.3969 0.8568
Hg 0.3016 0.6031 0.1432
Hg 0.0000 0.0000 0.0000
Rh 0.0905 0.1811 0.6424
Rh 0.9095 0.8189 0.3576
CELL_PARAMETERS angstrom
4.2538 0.0000 0.0000
-2.1269 5.2400 0.0989
0.0000 -1.0785 7.1984
! Calculated density   11.3 g/cm³
! Total moment   0.0 μB per formula unit
! Crystal system   monoclinic
! Formation energy from the elements   -0.46 eV/atom

[18]
! PBE Au5Se, optimized geometry; values from VASP
&SYSTEM
  ibrav = 0, nat = 6, ntyp = 2
/
ATOMIC_SPECIES
Au 196.97 Au.upf
Se 78.96 Se.upf
ATOMIC_POSITIONS crystal
Au 0.4434 0.5566 0.5000
Au 0.7796 0.2204 0.5000
Au 0.9995 0.0005 0.0000
Au 0.6696 0.3304 0.0000
Au 0.3342 0.6658 0.0000
Se 0.1070 0.8930 0.5000
CELL_PARAMETERS angstrom
4.9235 0.9048 -5.9418
-6.7446 0.1129 3.8550
0.9181 4.6570 1.4699
! Calculated density   15.8 g/cm³
! Calculated total energy   -3.15 eV/atom
! Total moment   0.0 μB per formula unit
! Crystal system   orthorhombic

[19]
! PBE Ta2MnCl, optimized geometry; values from VASP
&SYSTEM
  ibrav = 0, nat = 4, ntyp = 3
/
ATOMIC_SPECIES
Mn 54.94 Mn.upf
Cl 35.45 Cl.upf
Ta 180.95 Ta.upf
ATOMIC_POSITIONS crystal
Mn 0.7500 0.7500 0.7500
Cl 0.5000 0.5000 0.5000
Ta 0.0000 0.0000 0.0000
Ta 0.2500 0.2500 0.2500
CELL_PARAMETERS angstrom
4.6090 0.0000 0.0000
2.3045 3.9915 0.0000
2.3045 1.3305 3.7632
! Calculated density   10.8 g/cm³
! Calculated total energy   -7.75 eV/atom
! Total moment   2.9 μB per formula unit
! Crystal system   cubic

[20]
! PBE UFeP2Rh, optimized geometry; values from VASP
&SYSTEM
  ibrav = 0, nat = 5, ntyp = 4
/
ATOMIC_SPECIES
P 30.97 P.upf
Fe 55.84 Fe.upf
U 238.03 U.upf
Rh 102.91 Rh.upf
ATOMIC_POSITIONS crystal
P 0.3836 0.3836 0.7672
P 0.6164 0.6164 0.2328
Fe 0.7500 0.2500 0.5000
U 0.0000 0.0000 0.0000
Rh 0.2500 0.7500 0.5000
CELL_PARAMETERS angstrom
-1.9877 -3.0524 1.2292
3.2569 -1.6201 1.2436
-1.2372 4.4986 3.1588
! Calculated density   10.4 g/cm³
! Total moment   1.6 μB per formula unit
! Crystal system   tetragonal
! Formation energy from the elements   -0.77 eV/atom